Below is a relaxed Li2LaBeRu crystal, with properties calculated at the PBE level.

Summary:
M_tot (μB/f.u.): 0.00
Energy of formation (meV/atom): 81.8

a = 4.365 Å, b = 4.365 Å, c = 4.546 Å
α = 90.00°, β = 90.00°, γ = 90.00°
Space group P4/mmm (No. 123)
One atom of each set of equivalent atoms:
Li: 0.000 0.500 0.000 (multiplicity 2)
La: 0.000 0.000 0.500 (multiplicity 1)
Be: 0.500 0.500 0.000 (multiplicity 1)
Ru: 0.500 0.500 0.500 (multiplicity 1)